A relaxed structure of BaCo2Ge2. Source: Alexandria via LeMat-Bulk, functional PBEsol.

Properties
Total magnetic moment ... 0.0 μB per formula unit
Space-group type ... No. 139
Formation energy ... -0.411 eV per atom
Uncorrected energy ... -5.911 eV/atom
V ... 189.2 Å³ per cell
Crystal system ... tetragonal

```
BaCo2Ge2
1.0
3.9593 0.0000 0.0000
0.0000 3.9593 0.0000
0.0000 0.0000 12.0704
Ba Co Ge
2 4 4
direct
0.0000 0.0000 0.0000
0.5000 0.5000 0.5000
0.0000 0.5000 0.2500
0.0000 0.5000 0.7500
0.5000 0.0000 0.2500
0.5000 0.0000 0.7500
0.0000 0.0000 0.3468
0.0000 0.0000 0.6532
0.5000 0.5000 0.1532
0.5000 0.5000 0.8468
```

=====

A relaxed structure of Re2RuPbSe. Source: Alexandria via LeMat-Bulk, functional PBEsol.

Properties
Total magnetic moment ... 7.9 μB per formula unit
Space-group type ... No. 123
Uncorrected energy ... -5.477 eV/atom
E_form (uncorrected) ... 1669 kJ/mol of formula units
V ... 130.1 Å³ per cell
Crystal system ... tetragonal

```
Re2RuPbSe
1.0
5.0336 0.0000 0.0000
0.0000 5.0336 0.0000
0.0000 0.0000 5.1345
Re Ru Pb Se
2 1 1 1
direct
0.0000 0.5000 0.0000
0.5000 0.0000 0.0000
0.0000 0.0000 0.5000
0.5000 0.5000 0.0000
0.5000 0.5000 0.5000
```

=====

A relaxed structure of Li2TiB2O6. Source: Alexandria via LeMat-Bulk, functional PBEsol.

Properties
Total magnetic moment ... 0.0 μB per formula unit
Space-group type ... No. 2
Uncorrected energy ... -7.751 eV/atom
E_form (uncorrected) ... -2651 kJ/mol of formula units
V ... 246.8 Å³ per cell
Crystal system ... triclinic

```
Li2TiB2O6
1.0
4.9708 0.0000 0.0000
0.1702 6.6637 0.0000
0.2620 2.5835 7.4509
Li Ti B O
4 2 4 12
direct
0.1123 0.2805 0.0917
0.3242 0.4237 0.3896
0.6758 0.5763 0.6104
0.8877 0.7195 0.9083
0.3861 0.0987 0.7422
0.6139 0.9013 0.2578
0.1665 0.8429 0.3884
0.3574 0.6925 0.0433
0.6426 0.3075 0.9567
0.8335 0.1571 0.6116
0.1038 0.1965 0.5811
0.2304 0.5192 0.1412
0.2568 0.8345 0.8844
0.2676 0.0331 0.2741
0.3697 0.6958 0.4511
0.3978 0.2437 0.8993
0.6022 0.7563 0.1007
0.6303 0.3042 0.5489
0.7324 0.9669 0.7259
0.7432 0.1655 0.1156
0.7696 0.4808 0.8588
0.8962 0.8035 0.4189
```

=====

A relaxed structure of Mg2Fe2Co. Source: Alexandria via LeMat-Bulk, functional PBEsol.

Properties
Total magnetic moment ... 5.3 μB per formula unit
Space-group type ... No. 139
Formation energy ... 0.554 eV per atom
Uncorrected energy ... -5.266 eV/atom
V ... 150.5 Å³ per cell
Crystal system ... tetragonal

```
Mg2Fe2Co
1.0
3.2053 0.0000 0.0000
0.0000 3.2053 0.0000
0.0000 0.0000 14.6471
Mg Fe Co
4 4 2
direct
0.0000 0.0000 0.0965
0.0000 0.0000 0.9035
0.5000 0.5000 0.4035
0.5000 0.5000 0.5965
0.0000 0.5000 0.2500
0.0000 0.5000 0.7500
0.5000 0.0000 0.2500
0.5000 0.0000 0.7500
0.0000 0.0000 0.5000
0.5000 0.5000 0.0000
```

=====

A relaxed structure of Li2MgHg. Source: Alexandria via LeMat-Bulk, functional PBEsol.

Properties
Total magnetic moment ... 0.0 μB per formula unit
Space-group type ... No. 99
Formation energy ... -0.251 eV per atom
Uncorrected energy ... -1.806 eV/atom
V ... 75.0 Å³ per cell
Crystal system ... tetragonal

```
Li2MgHg
1.0
3.4492 0.0000 0.0000
0.0000 3.4492 0.0000
0.0000 0.0000 6.3064
Li Mg Hg
2 1 1
direct
0.0000 0.0000 0.0000
0.5000 0.5000 0.2442
0.5000 0.5000 0.7270
0.0000 0.0000 0.4618
```

=====

A relaxed structure of FeHgRu2. Source: Alexandria via LeMat-Bulk, functional PBEsol.

Properties
Total magnetic moment ... 2.7 μB per formula unit
Space-group type ... No. 12
Formation energy ... 0.412 eV per atom
Uncorrected energy ... -7.057 eV/atom
V ... 114.8 Å³ per cell
Crystal system ... monoclinic

```
FeHgRu2
1.0
9.0386 0.0000 0.0000
0.0000 2.7529 0.0000
-1.0544 0.0000 4.6128
Fe Hg Ru
2 2 4
direct
0.0000 0.0000 0.0000
0.5000 0.5000 0.0000
0.0000 0.5000 0.5000
0.5000 0.0000 0.5000
0.2313 0.5000 0.2160
0.2687 0.0000 0.7840
0.7313 0.0000 0.2160
0.7687 0.5000 0.7840
```

=====

A relaxed structure of ZrP2Ru. Source: Alexandria via LeMat-Bulk, functional PBEsol.

Properties
Total magnetic moment ... 0.5 μB per formula unit
Space-group type ... No. 216
Formation energy ... -0.155 eV per atom
Uncorrected energy ... -7.866 eV/atom
V ... 241.5 Å³ per cell
Crystal system ... cubic

```
ZrP2Ru
1.0
6.2275 0.0000 0.0000
0.0000 6.2275 0.0000
0.0000 0.0000 6.2275
Zr P Ru
4 8 4
direct
0.0000 0.0000 0.0000
0.0000 0.5000 0.5000
0.5000 0.0000 0.5000
0.5000 0.5000 0.0000
0.0000 0.0000 0.5000
0.0000 0.5000 0.0000
0.2500 0.2500 0.7500
0.2500 0.7500 0.2500
0.5000 0.0000 0.0000
0.5000 0.5000 0.5000
0.7500 0.2500 0.2500
0.7500 0.7500 0.7500
0.2500 0.2500 0.2500
0.2500 0.7500 0.7500
0.7500 0.2500 0.7500
0.7500 0.7500 0.2500
```

=====

A relaxed structure of TaAl3Cr. Source: Alexandria via LeMat-Bulk, functional PBEsol.

Properties
Total magnetic moment ... 3.6 μB per formula unit
Space-group type ... No. 221
Formation energy ... 1.255 eV per atom
Uncorrected energy ... -5.758 eV/atom
V ... 119.1 Å³ per cell
Crystal system ... cubic

```
TaAl3Cr
1.0
4.9205 0.0000 0.0000
0.0000 4.9205 0.0000
0.0000 0.0000 4.9205
Ta Al Cr
1 3 1
direct
0.0000 0.0000 0.0000
0.0000 0.0000 0.5000
0.0000 0.5000 0.0000
0.5000 0.0000 0.0000
0.5000 0.5000 0.5000
```